An optimized crystal structure of Pm8Cd2Pd. Source: Alexandria via LeMat-Bulk, functional PBE.

Cell: 18.3822 5.3245 6.9805 Å, 90.00 102.49 90.00°
Space group C2/m (No. 12)
Inequivalent atoms, fractional coordinates:
Pm  0.0207  0.0000  0.2716
Pm  0.0909  0.5000  0.9465
Pm  0.1527  0.5000  0.4607
Pm  0.2015  0.0000  0.8003
Cd  0.1907  0.0000  0.2372
Pd  0.0000  0.5000  0.5000

Calculated values
- Calculated volume: 667.05 Å³/cell
- Energy of formation: -0.21 eV per atom

=====

An optimized crystal structure of PmCd10Pd2. Source: Alexandria via LeMat-Bulk, functional PBE.

Cell: 5.6585 14.0331 14.1951 Å, 90.00 90.00 90.00°
Space group Fmmm (No. 69)
Inequivalent atoms, fractional coordinates:
Pm  0.0000  0.0000  0.0000
Cd  0.0000  0.1098  0.3979
Cd  0.0000  0.1803  0.1636
Cd  0.2500  0.0000  0.2500
Pd  0.2500  0.2500  0.0000

Calculated values
- Calculated volume: 1127.19 Å³/cell
- Energy of formation: -0.23 eV per atom

=====

Question: Which value of energy of formation does entry 2 give?
Answer: -0.23 eV per atom

=====

Question: Which of these has the lowest calculated volume?
Answer: Pm8Cd2Pd

=====

Question: Which of these has the highest energy of formation?
Answer: Pm8Cd2Pd

=====

Question: What is the formula in the first record?
Answer: Pm8Cd2Pd